Record 1
NaTbHgTe3 (PBE, optimized geometry); symmetry = C2/m; magnetic moment = 0.013 Bohr magnetons per cell; excess energy over the best structure of this formula in the dataset = 0.058 eV per atom
1.0
10.201 -2.167 0.000
10.201 2.167 0.000
-2.030 0.000 8.933
Na Tb Hg Te
2 2 2 6
direct
0.124 0.124 0.080
0.876 0.876 0.920
0.177 0.177 0.591
0.823 0.823 0.409
0.456 0.456 0.275
0.544 0.544 0.725
0.000 0.000 0.500
0.315 0.315 0.163
0.329 0.329 0.647
0.500 0.500 0.000
0.671 0.671 0.353
0.685 0.685 0.837

Record 2
PrAg12 (PBE, optimized geometry); ΔH_f (0 K) = -0.0550 eV/atom; symmetry = I4/mmm; magnetic moment = 0.015 Bohr magnetons per cell
1.0
-4.774 4.774 2.727
4.774 -4.774 2.727
4.774 4.774 -2.727
Pr Ag
1 12
direct
0.000 0.000 0.000
0.000 0.000 0.500
0.000 0.353 0.353
0.000 0.500 0.000
0.000 0.647 0.647
0.285 0.500 0.785
0.353 0.000 0.353
0.500 0.000 0.000
0.500 0.285 0.785
0.500 0.500 0.500
0.500 0.715 0.215
0.647 0.000 0.647
0.715 0.500 0.215

Record 3
SmPIrO (PBE, optimized geometry); symmetry = P4/mmm; magnetic moment = 0.261 Bohr magnetons per cell; excess energy over the best structure of this formula in the dataset = 1.209 eV per atom
1.0
4.077 0.000 0.000
0.000 4.077 0.000
0.000 0.000 4.472
Sm P Ir O
1 1 1 1
direct
0.000 0.000 0.000
0.500 0.500 0.000
0.500 0.500 0.500
0.000 0.000 0.500

Record 4
TaHgNO (PBE, optimized geometry); symmetry = P4/nmm; magnetic moment = 0.002 Bohr magnetons per cell; excess energy over the best structure of this formula in the dataset = 0.484 eV per atom
1.0
4.129 0.000 0.000
0.000 4.129 0.000
0.000 0.000 8.991
Ta Hg N O
2 2 2 2
direct
0.250 0.250 0.060
0.750 0.750 0.940
0.250 0.750 0.500
0.750 0.250 0.500
0.250 0.250 0.254
0.750 0.750 0.746
0.250 0.750 0.000
0.750 0.250 0.000

Record 5
YEr3Sb4 (PBE, optimized geometry); symmetry = Pm-3m; magnetic moment = 0.000 Bohr magnetons per cell
1.0
6.166 0.000 0.000
0.000 6.166 0.000
0.000 0.000 6.166
Y Er Sb
1 3 4
direct
0.000 0.000 0.000
0.000 0.500 0.500
0.500 0.000 0.500
0.500 0.500 0.000
0.000 0.000 0.500
0.000 0.500 0.000
0.500 0.000 0.000
0.500 0.500 0.500

Record 6
Hf4Nb2Zn3N3 (PBE, optimized geometry); symmetry = C2/c; magnetic moment = 0.002 Bohr magnetons per cell
1.0
4.782 -2.768 0.000
4.782 2.768 0.000
-3.113 0.000 13.683
Hf Nb Zn N
8 4 6 6
direct
0.031 0.198 0.095
0.135 0.303 0.405
0.198 0.031 0.595
0.303 0.135 0.905
0.697 0.865 0.095
0.802 0.969 0.405
0.865 0.697 0.595
0.969 0.802 0.905
0.362 0.527 0.080
0.473 0.638 0.420
0.527 0.362 0.580
0.638 0.473 0.920
0.127 0.873 0.250
0.297 0.416 0.750
0.416 0.297 0.250
0.584 0.703 0.750
0.703 0.584 0.250
0.873 0.127 0.750
0.000 0.500 0.000
0.147 0.676 0.500
0.324 0.853 0.000
0.500 0.000 0.500
0.676 0.147 0.000
0.853 0.324 0.500

Record 7
SrGeSbPt2 (PBE, optimized geometry); symmetry = P2_1/m; magnetic moment = 0.010 Bohr magnetons per cell
1.0
4.639 0.000 0.000
0.000 4.574 0.000
-0.350 0.000 10.365
Sr Ge Sb Pt
2 2 2 4
direct
0.238 0.250 0.259
0.762 0.750 0.741
0.246 0.750 0.499
0.754 0.250 0.501
0.292 0.250 0.868
0.708 0.750 0.132
0.197 0.750 0.997
0.260 0.250 0.609
0.740 0.750 0.391
0.803 0.250 0.003

Record 8
HoEr2Al3Si2Pt (PBE, optimized geometry); symmetry = Amm2; magnetic moment = 0.006 Bohr magnetons per cell
1.0
4.205 0.000 0.000
0.000 5.950 3.434
0.000 -5.950 3.434
Ho Er Al Si Pt
1 2 3 2 1
direct
0.000 0.000 0.000
0.000 0.165 0.583
0.000 0.583 0.165
0.500 0.345 0.345
0.500 0.582 0.820
0.500 0.820 0.582
0.500 0.250 0.915
0.500 0.915 0.250
0.000 0.581 0.581

Record 9
TmSbPt (PBE, optimized geometry); symmetry = F-43m; magnetic moment = 0.004 Bohr magnetons per cell
1.0
6.542 0.000 0.000
0.000 6.542 0.000
0.000 0.000 6.542
Tm Sb Pt
4 4 4
direct
0.000 0.000 0.000
0.000 0.500 0.500
0.500 0.000 0.500
0.500 0.500 0.000
0.000 0.000 0.500
0.000 0.500 0.000
0.500 0.000 0.000
0.500 0.500 0.500
0.250 0.250 0.250
0.250 0.750 0.750
0.750 0.250 0.750
0.750 0.750 0.250

Record 10
NaLaCoAs (PBE, optimized geometry); symmetry = F-43m; magnetic moment = 0.015 Bohr magnetons per cell; excess energy over the best structure of this formula in the dataset = 0.000 eV per atom
1.0
6.658 0.000 0.000
0.000 6.658 0.000
0.000 0.000 6.658
Na La Co As
4 4 4 4
direct
0.000 0.000 0.000
0.000 0.500 0.500
0.500 0.000 0.500
0.500 0.500 0.000
0.250 0.250 0.250
0.250 0.750 0.750
0.750 0.250 0.750
0.750 0.750 0.250
0.000 0.000 0.500
0.000 0.500 0.000
0.500 0.000 0.000
0.500 0.500 0.500
0.250 0.250 0.750
0.250 0.750 0.250
0.750 0.250 0.250
0.750 0.750 0.750

Record 11
Na4AlZnGa2 (PBE, optimized geometry); symmetry = P-4m2
1.0
4.838 0.000 0.000
0.000 4.838 0.000
0.000 0.000 6.913
Na Al Zn Ga
4 1 1 2
direct
0.000 0.000 0.000
0.000 0.500 0.740
0.500 0.000 0.260
0.500 0.500 0.500
0.500 0.500 0.000
0.000 0.000 0.500
0.000 0.500 0.248
0.500 0.000 0.752

Record 12
Ho3In3IrPt2 (PBE, optimized geometry); symmetry = P-62m; magnetic moment = 0.005 Bohr magnetons per cell
1.0
7.573 0.000 0.000
-3.787 6.559 0.000
0.000 0.000 3.914
Ho In Ir Pt
3 3 1 2
direct
0.000 0.403 0.000
0.403 0.000 0.000
0.597 0.597 0.000
0.000 0.743 0.500
0.257 0.257 0.500
0.743 0.000 0.500
0.000 0.000 0.000
0.333 0.667 0.500
0.667 0.333 0.500

Number 1: calculated total energy -3.42 eV/atom. Number 2: calculated total energy -3.03 eV/atom. Number 3: calculated total energy -6.72 eV/atom. Number 4: calculated total energy -7.02 eV/atom. Number 5: calculated total energy -5.69 eV/atom. Number 6: calculated total energy -8.26 eV/atom. Number 7: calculated total energy -5.30 eV/atom. Number 8: calculated total energy -5.53 eV/atom. Number 9: calculated total energy -6.11 eV/atom. Number 10: calculated total energy -4.69 eV/atom. Number 11: calculated total energy -2.03 eV/atom. Number 12: calculated total energy -5.67 eV/atom.